Record 1
First-principles (GGA-PBE) data for a geometry-optimized FeHPt structure, as listed in Alexandria via LeMat-Bulk.

E: -71.34 eV/cell
Total magnetic moment: 3.037 μB per formula unit
Distance to the lowest polymorph of the same formula: 0.000 eV/atom

a = 10.2578 Å, b = 4.4225 Å, c = 2.7220 Å
α = 90.00°, β = 90.00°, γ = 90.00°
Last column: nearest neighbours and their distance in Å.
Atoms (fractional coordinates):
Fe1 0.1594 0.2500 0.0008  2 H 1.89
Fe2 0.3406 0.7500 0.5008  2 H 1.89
Fe3 0.6594 0.2500 0.4992  2 H 1.89
Fe4 0.8406 0.7500 0.9992  2 H 1.89
H1 0.2125 0.7500 0.0010  2 Fe 1.89, 2 Pt 1.94
H2 0.2875 0.2500 0.5010  2 Fe 1.89, 2 Pt 1.94
H3 0.7125 0.7500 0.4990  2 Fe 1.89, 2 Pt 1.94
H4 0.7875 0.2500 0.9990  2 Fe 1.89, 2 Pt 1.94
Pt1 0.0773 0.7500 0.5008  2 H 1.94
Pt2 0.4227 0.2500 0.0008  2 H 1.94
Pt3 0.5773 0.7500 0.9992  2 H 1.94
Pt4 0.9227 0.2500 0.4992  2 H 1.94



Record 2
First-principles (GGA-PBE) data for a geometry-optimized FeHPt structure, as listed in Alexandria via LeMat-Bulk.

E: -17.04 eV/cell
Total magnetic moment: 3.350 μB per formula unit
Distance to the lowest polymorph of the same formula: 0.265 eV/atom

a = 3.7895 Å, b = 3.7895 Å, c = 2.7388 Å
α = 90.00°, β = 90.00°, γ = 120.00°
Last column: nearest neighbours and their distance in Å.
Atoms (fractional coordinates):
Fe1 0.0000 0.0000 0.0000  6 H 2.58-2.59, 6 Pt 2.58, 2 Fe 2.74
H1 0.3333 0.6667 0.4970  3 Pt 2.19
Pt1 0.6667 0.3333 0.4992  3 H 2.19



Record 3
First-principles (GGA-PBE) data for a geometry-optimized Fe2H2Pt structure, as listed in Alexandria via LeMat-Bulk.

E: -57.46 eV/cell
Total magnetic moment: 0.000 μB per formula unit
Distance to the lowest polymorph of the same formula: 0.000 eV/atom

a = 3.2315 Å, b = 3.2315 Å, c = 7.9326 Å
α = 90.00°, β = 90.00°, γ = 90.00°
Last column: nearest neighbours and their distance in Å.
Atoms (fractional coordinates):
Fe1 0.0000 0.0000 0.1722  4 H 1.73
Fe2 0.0000 0.0000 0.8278  4 H 1.73
Fe3 0.5000 0.5000 0.3278  4 H 1.73
Fe4 0.5000 0.5000 0.6722  4 H 1.73
H1 0.0000 0.5000 0.2500  4 Fe 1.73
H2 0.0000 0.5000 0.7500  4 Fe 1.73
H3 0.5000 0.0000 0.2500  4 Fe 1.73
H4 0.5000 0.0000 0.7500  4 Fe 1.73
Pt1 0.0000 0.0000 0.5000  8 H 2.56, 10 Fe 2.60-2.66
Pt2 0.5000 0.5000 0.0000  8 H 2.56, 10 Fe 2.60-2.66



Record 4
First-principles (GGA-PBE) data for a geometry-optimized Fe2H2Pt structure, as listed in Alexandria via LeMat-Bulk.

E: -57.15 eV/cell
Total magnetic moment: 5.078 μB per formula unit
Distance to the lowest polymorph of the same formula: 0.031 eV/atom

a = 5.9236 Å, b = 5.9236 Å, c = 2.6299 Å
α = 90.00°, β = 90.00°, γ = 90.00°
Last column: nearest neighbours and their distance in Å.
Atoms (fractional coordinates):
Fe1 0.1379 0.3621 0.0000  4 H 1.97
Fe2 0.3621 0.8621 0.0000  4 H 1.97
Fe3 0.6379 0.1379 0.0000  4 H 1.97
Fe4 0.8621 0.6379 0.0000  4 H 1.97
H1 0.1085 0.6085 0.5000  1 H 1.82, 4 Fe 1.97
H2 0.3915 0.1085 0.5000  1 H 1.82, 4 Fe 1.97
H3 0.6085 0.8915 0.5000  1 H 1.82, 4 Fe 1.97
H4 0.8915 0.3915 0.5000  1 H 1.82, 4 Fe 1.97
Pt1 0.0000 0.0000 0.5000  4 H 2.41, 2 Pt 2.63, 8 Fe 2.65
Pt2 0.5000 0.5000 0.5000  4 H 2.41, 2 Pt 2.63, 8 Fe 2.65



Record 5
First-principles (GGA-PBE) data for a geometry-optimized FeHPt structure, as listed in Alexandria via LeMat-Bulk.

E: -34.92 eV/cell
Total magnetic moment: 2.951 μB per formula unit
Distance to the lowest polymorph of the same formula: 0.124 eV/atom

a = 2.7156 Å, b = 2.7156 Å, c = 8.7570 Å
α = 90.00°, β = 90.00°, γ = 90.00°
Last column: nearest neighbours and their distance in Å.
Atoms (fractional coordinates):
Fe1 0.0000 0.0000 0.0000  4 H 1.92
Fe2 0.5000 0.5000 0.5000  4 H 1.92
H1 0.0000 0.0000 0.5148  4 Fe 1.92, 1 Pt 2.01
H2 0.5000 0.5000 0.0148  4 Fe 1.92, 1 Pt 2.01
Pt1 0.0000 0.0000 0.2858  1 H 2.01
Pt2 0.5000 0.5000 0.7858  1 H 2.01



Record 6
First-principles (GGA-PBE) data for a geometry-optimized Fe3HPt structure, as listed in Alexandria via LeMat-Bulk.

E: -35.21 eV/cell
Total magnetic moment: 7.964 μB per formula unit
Distance to the lowest polymorph of the same formula: 0.000 eV/atom

a = 3.7610 Å, b = 3.7610 Å, c = 3.7610 Å
α = 90.00°, β = 90.00°, γ = 90.00°
Last column: nearest neighbours and their distance in Å.
Atoms (fractional coordinates):
Fe1 0.0000 0.0000 0.5000  2 H 1.88
Fe2 0.0000 0.5000 0.0000  2 H 1.88
Fe3 0.5000 0.0000 0.0000  2 H 1.88
H1 0.0000 0.0000 0.0000  6 Fe 1.88
Pt1 0.5000 0.5000 0.5000  12 Fe 2.66



Record 7
First-principles (GGA-PBE) data for a geometry-optimized FeH2Pt2 structure, as listed in Alexandria via LeMat-Bulk.

E: -53.32 eV/cell
Total magnetic moment: 3.432 μB per formula unit
Distance to the lowest polymorph of the same formula: 0.074 eV/atom

a = 6.1192 Å, b = 6.1192 Å, c = 2.8337 Å
α = 90.00°, β = 90.00°, γ = 90.00°
Last column: nearest neighbours and their distance in Å.
Atoms (fractional coordinates):
Fe1 0.0000 0.0000 0.0000  4 H 2.18
Fe2 0.5000 0.5000 0.0000  4 H 2.18
H1 0.2148 0.2852 0.0000  2 Pt 1.76
H2 0.2852 0.7852 0.0000  2 Pt 1.76
H3 0.7148 0.2148 0.0000  2 Pt 1.76
H4 0.7852 0.7148 0.0000  2 Pt 1.76
Pt1 0.1641 0.6641 0.5000  2 H 1.76
Pt2 0.3359 0.1641 0.5000  2 H 1.76
Pt3 0.6641 0.8359 0.5000  2 H 1.76
Pt4 0.8359 0.3359 0.5000  2 H 1.76



Record 8
First-principles (GGA-PBE) data for a geometry-optimized FeH2Pt2 structure, as listed in Alexandria via LeMat-Bulk.

E: -54.06 eV/cell
Total magnetic moment: 3.412 μB per formula unit
Distance to the lowest polymorph of the same formula: 0.000 eV/atom

a = 2.8443 Å, b = 2.8443 Å, c = 12.5786 Å
α = 90.00°, β = 90.00°, γ = 90.00°
Last column: nearest neighbours and their distance in Å.
Atoms (fractional coordinates):
Fe1 0.0000 0.0000 0.0000  8 Pt 2.70, 4 Fe 2.84
Fe2 0.5000 0.5000 0.5000  8 Pt 2.70, 4 Fe 2.84
H1 0.0000 0.5000 0.2500  4 Pt 1.96, 4 H 2.01
H2 0.0000 0.5000 0.7500  4 Pt 1.96, 4 H 2.01
H3 0.5000 0.0000 0.2500  4 Pt 1.96, 4 H 2.01
H4 0.5000 0.0000 0.7500  4 Pt 1.96, 4 H 2.01
Pt1 0.0000 0.0000 0.3570  4 H 1.96
Pt2 0.0000 0.0000 0.6430  4 H 1.96
Pt3 0.5000 0.5000 0.1430  4 H 1.96
Pt4 0.5000 0.5000 0.8570  4 H 1.96



Record 9
First-principles (GGA-PBE) data for a geometry-optimized FeRe2HPt structure, as listed in Alexandria via LeMat-Bulk.

E: -42.21 eV/cell
Total magnetic moment: 1.736 μB per formula unit

a = 3.8830 Å, b = 3.8830 Å, c = 3.9156 Å
α = 90.00°, β = 90.00°, γ = 90.00°
Last column: nearest neighbours and their distance in Å.
Atoms (fractional coordinates):
Fe1 0.0000 0.0000 0.0000  2 H 1.96
Re1 0.0000 0.5000 0.5000  2 H 1.94
Re2 0.5000 0.0000 0.5000  2 H 1.94
H1 0.0000 0.0000 0.5000  4 Re 1.94, 2 Fe 1.96
Pt1 0.5000 0.5000 0.0000  4 Fe 2.75, 8 Re 2.76



Record 10
First-principles (GGA-PBE) data for a geometry-optimized Fe2ReHPt structure, as listed in Alexandria via LeMat-Bulk.

E: -38.16 eV/cell
Total magnetic moment: 0.003 μB per formula unit

a = 3.7760 Å, b = 3.7760 Å, c = 3.7472 Å
α = 90.00°, β = 90.00°, γ = 90.00°
Last column: nearest neighbours and their distance in Å.
Atoms (fractional coordinates):
Fe1 0.0000 0.5000 0.0000  2 H 1.89
Fe2 0.5000 0.0000 0.0000  2 H 1.89
Re1 0.0000 0.0000 0.5000  2 H 1.87
H1 0.0000 0.0000 0.0000  2 Re 1.87, 4 Fe 1.89
Pt1 0.5000 0.5000 0.5000  8 Fe 2.66, 4 Re 2.67



Record 11
First-principles (GGA-PBE) data for a geometry-optimized Fe2HRuPt structure, as listed in Alexandria via LeMat-Bulk.

E: -35.06 eV/cell
Total magnetic moment: 5.446 μB per formula unit
Distance to the lowest polymorph of the same formula: 0.000 eV/atom

a = 3.8631 Å, b = 3.8631 Å, c = 3.7408 Å
α = 90.00°, β = 90.00°, γ = 90.00°
Last column: nearest neighbours and their distance in Å.
Atoms (fractional coordinates):
Fe1 0.0000 0.5000 0.0000  2 H 1.93
Fe2 0.5000 0.0000 0.0000  2 H 1.93
H1 0.0000 0.0000 0.0000  2 Pt 1.87, 4 Fe 1.93
Ru1 0.5000 0.5000 0.5000  8 Fe 2.69, 4 Pt 2.73
Pt1 0.0000 0.0000 0.5000  2 H 1.87



Record 12
First-principles (GGA-PBE) data for a geometry-optimized Fe2HRuPt structure, as listed in Alexandria via LeMat-Bulk.

E: -35.05 eV/cell
Total magnetic moment: 0.004 μB per formula unit
Distance to the lowest polymorph of the same formula: 0.003 eV/atom

a = 3.7577 Å, b = 3.7577 Å, c = 3.7191 Å
α = 90.00°, β = 90.00°, γ = 90.00°
Last column: nearest neighbours and their distance in Å.
Atoms (fractional coordinates):
Fe1 0.0000 0.5000 0.0000  2 H 1.88
Fe2 0.5000 0.0000 0.0000  2 H 1.88
H1 0.0000 0.0000 0.0000  2 Ru 1.86, 4 Fe 1.88
Ru1 0.0000 0.0000 0.5000  2 H 1.86
Pt1 0.5000 0.5000 0.5000  8 Fe 2.64, 4 Ru 2.66



Record 13
First-principles (GGA-PBE) data for a geometry-optimized ScFeHPt2 structure, as listed in Alexandria via LeMat-Bulk.

E: -32.72 eV/cell
Total magnetic moment: 1.933 μB per formula unit

a = 3.9949 Å, b = 3.9949 Å, c = 4.0055 Å
α = 90.00°, β = 90.00°, γ = 90.00°
Last column: nearest neighbours and their distance in Å.
Atoms (fractional coordinates):
Sc1 0.0000 0.0000 0.0000  4 Fe 2.82, 8 Pt 2.83
Fe1 0.5000 0.5000 0.0000  2 H 2.00
H1 0.5000 0.5000 0.5000  4 Pt 2.00, 2 Fe 2.00
Pt1 0.0000 0.5000 0.5000  2 H 2.00
Pt2 0.5000 0.0000 0.5000  2 H 2.00



Record 14
First-principles (GGA-PBE) data for a geometry-optimized TiFe2HPt structure, as listed in Alexandria via LeMat-Bulk.

E: -35.90 eV/cell
Total magnetic moment: 0.001 μB per formula unit
Distance to the lowest polymorph of the same formula: 0.000 eV/atom

a = 3.7099 Å, b = 3.7099 Å, c = 3.8467 Å
α = 90.00°, β = 90.00°, γ = 90.00°
Last column: nearest neighbours and their distance in Å.
Atoms (fractional coordinates):
Ti1 0.0000 0.0000 0.0000  2 H 1.92
Fe1 0.0000 0.5000 0.5000  2 H 1.85
Fe2 0.5000 0.0000 0.5000  2 H 1.85
H1 0.0000 0.0000 0.5000  4 Fe 1.85, 2 Ti 1.92
Pt1 0.5000 0.5000 0.0000  4 Ti 2.62, 8 Fe 2.67



Record 15
First-principles (GGA-PBE) data for a geometry-optimized TiFeHPt2 structure, as listed in Alexandria via LeMat-Bulk.

E: -33.81 eV/cell
Total magnetic moment: 1.011 μB per formula unit
Distance to the lowest polymorph of the same formula: 0.000 eV/atom

a = 3.9083 Å, b = 3.9083 Å, c = 3.9398 Å
α = 90.00°, β = 90.00°, γ = 90.00°
Last column: nearest neighbours and their distance in Å.
Atoms (fractional coordinates):
Ti1 0.0000 0.0000 0.0000  4 Fe 2.76, 8 Pt 2.77
Fe1 0.5000 0.5000 0.0000  2 H 1.97
H1 0.5000 0.5000 0.5000  4 Pt 1.95, 2 Fe 1.97
Pt1 0.0000 0.5000 0.5000  2 H 1.95
Pt2 0.5000 0.0000 0.5000  2 H 1.95



Record 16
First-principles (GGA-PBE) data for a geometry-optimized TiFeHPt2 structure, as listed in Alexandria via LeMat-Bulk.

E: -33.61 eV/cell
Total magnetic moment: 1.628 μB per formula unit
Distance to the lowest polymorph of the same formula: 0.040 eV/atom

a = 3.8900 Å, b = 3.8900 Å, c = 4.0717 Å
α = 90.00°, β = 90.00°, γ = 90.00°
Last column: nearest neighbours and their distance in Å.
Atoms (fractional coordinates):
Ti1 0.0000 0.0000 0.0000  2 H 2.04
Fe1 0.5000 0.5000 0.0000  4 Ti 2.75, 8 Pt 2.82
H1 0.0000 0.0000 0.5000  4 Pt 1.94, 2 Ti 2.04
Pt1 0.0000 0.5000 0.5000  2 H 1.94
Pt2 0.5000 0.0000 0.5000  2 H 1.94



Record 17
First-principles (GGA-PBE) data for a geometry-optimized TiFe2HPt structure, as listed in Alexandria via LeMat-Bulk.

E: -35.69 eV/cell
Total magnetic moment: 2.883 μB per formula unit
Distance to the lowest polymorph of the same formula: 0.042 eV/atom

a = 3.7928 Å, b = 3.7928 Å, c = 3.8710 Å
α = 90.00°, β = 90.00°, γ = 90.00°
Last column: nearest neighbours and their distance in Å.
Atoms (fractional coordinates):
Ti1 0.0000 0.0000 0.0000  4 Pt 2.68, 8 Fe 2.71
Fe1 0.0000 0.5000 0.5000  2 H 1.90
Fe2 0.5000 0.0000 0.5000  2 H 1.90
H1 0.5000 0.5000 0.5000  4 Fe 1.90, 2 Pt 1.94
Pt1 0.5000 0.5000 0.0000  2 H 1.94



Record 18
First-principles (GGA-PBE) data for a geometry-optimized V2FeHPt structure, as listed in Alexandria via LeMat-Bulk.

E: -37.60 eV/cell
Total magnetic moment: 0.001 μB per formula unit
Distance to the lowest polymorph of the same formula: 0.000 eV/atom

a = 3.8160 Å, b = 3.8160 Å, c = 3.6955 Å
α = 90.00°, β = 90.00°, γ = 90.00°
Last column: nearest neighbours and their distance in Å.
Atoms (fractional coordinates):
V1 0.0000 0.5000 0.0000  2 H 1.91
V2 0.5000 0.0000 0.0000  2 H 1.91
Fe1 0.0000 0.0000 0.5000  2 H 1.85
H1 0.0000 0.0000 0.0000  2 Fe 1.85, 4 V 1.91
Pt1 0.5000 0.5000 0.5000  8 V 2.66, 4 Fe 2.70



Record 19
First-principles (GGA-PBE) data for a geometry-optimized V2FeHPt structure, as listed in Alexandria via LeMat-Bulk.

E: -36.91 eV/cell
Total magnetic moment: 0.789 μB per formula unit
Distance to the lowest polymorph of the same formula: 0.138 eV/atom

a = 3.7837 Å, b = 3.7837 Å, c = 3.8654 Å
α = 90.00°, β = 90.00°, γ = 90.00°
Last column: nearest neighbours and their distance in Å.
Atoms (fractional coordinates):
V1 0.0000 0.5000 0.0000  2 H 1.89
V2 0.5000 0.0000 0.0000  2 H 1.89
Fe1 0.0000 0.0000 0.5000  4 Pt 2.68, 8 V 2.70
H1 0.5000 0.5000 0.0000  4 V 1.89, 2 Pt 1.93
Pt1 0.5000 0.5000 0.5000  2 H 1.93



Record 20
First-principles (GGA-PBE) data for a geometry-optimized Fe2HPtW structure, as listed in Alexandria via LeMat-Bulk.

E: -39.05 eV/cell
Total magnetic moment: 0.936 μB per formula unit
Distance to the lowest polymorph of the same formula: 0.022 eV/atom

a = 3.8395 Å, b = 3.8395 Å, c = 3.6963 Å
α = 90.00°, β = 90.00°, γ = 90.00°
Last column: nearest neighbours and their distance in Å.
Atoms (fractional coordinates):
Fe1 0.0000 0.5000 0.0000  2 H 1.92
Fe2 0.5000 0.0000 0.0000  2 H 1.92
H1 0.0000 0.0000 0.0000  2 Pt 1.85, 4 Fe 1.92
Pt1 0.0000 0.0000 0.5000  2 H 1.85
W1 0.5000 0.5000 0.5000  8 Fe 2.66, 4 Pt 2.71